No. 1
Here is an optimized crystal structure of AcLa3O6 from the Alexandria database. Energies are from PBE-GGA.

Results
Relative energy among the computed polymorphs, eV/atom: 0.0585
Crystal system: monoclinic

abc: 6.225 6.423 9.083
angles: 90.00 90.13 90.00
Atoms (fractional coordinates):
La 0.996 0.463 0.771
O 0.684 0.192 0.895
O 0.816 0.692 0.605
La 0.504 0.963 0.729
O 0.154 0.100 0.741
Ac 0.000 0.000 0.000
O 0.346 0.600 0.759
O 0.654 0.400 0.241
O 0.846 0.900 0.259
O 0.836 0.659 0.953
O 0.664 0.159 0.547
Ac 0.500 0.500 0.500
O 0.336 0.841 0.453
La 0.000 0.000 0.500
O 0.184 0.308 0.395
La 0.004 0.537 0.229
O 0.316 0.808 0.105
O 0.164 0.341 0.047
La 0.496 0.037 0.271
La 0.500 0.500 0.000



No. 2
Here is an optimized crystal structure of AcLaO from the Alexandria database. Energies are from PBE-GGA.

Results
Crystal system: trigonal

abc: 3.882 3.882 6.410
angles: 90.00 90.00 120.00
Site moments in Bohr magnetons follow the coordinates.
Atoms (fractional coordinates):
O 0.333 0.667 0.649  0.00
Ac 0.000 0.000 0.898  -0.09
La 0.667 0.333 0.453  0.15



Number 1: formation energy from raw total energies -3.3206 eV/atom, density 6.765 g cm⁻³, spin magnetization 0.00 μB/f.u.. Number 2: formation energy from raw total energies -1.6358 eV/atom, density 7.582 g cm⁻³, spin magnetization 0.13 μB/f.u..